Record 1
DFT (GGA-PBE) results for a relaxed structure of AlInTe2.

Cell and atoms, written as CIF:
```
data_AlInTe2
_chemical_formula_sum 'Al1 In1 Te2'
_symmetry_space_group_name_H-M 'P 4 m m'
_symmetry_Int_Tables_number 99
_symmetry_space_group_name_Hall 'P 4 -2'
_cell_length_a 4.248
_cell_length_b 4.248
_cell_length_c 6.431
_cell_angle_alpha 90.00
_cell_angle_beta 90.00
_cell_angle_gamma 90.00
loop_
_atom_site_label
_atom_site_type_symbol
_atom_site_fract_x
_atom_site_fract_y
_atom_site_fract_z
Al1 Al 0.000 0.000 0.000
In1 In 0.500 0.500 0.515
Te1 Te 0.000 0.000 0.560
Te2 Te 0.500 0.500 0.042
```

Calculated values
As for the total energy: -3.39 eV/atom. The uncorrected formation energy is -75 kJ/mol of formula units.



Record 2
DFT (GGA-PBE) results for a relaxed structure of RbTcP.

Cell and atoms, written as CIF:
```
data_RbTcP
_chemical_formula_sum 'Rb2 Tc2 P2'
_symmetry_space_group_name_H-M 'P 4/n m m'
_symmetry_Int_Tables_number 129
_cell_length_a 4.132
_cell_length_b 4.132
_cell_length_c 10.909
_cell_angle_alpha 90.00
_cell_angle_beta 90.00
_cell_angle_gamma 90.00
loop_
_symmetry_equiv_pos_as_xyz
'x,y,z'
'-x,-y,-z'
'-y+1/2,x,z'
'y+1/2,-x,-z'
'-x+1/2,-y+1/2,z'
'x+1/2,y+1/2,-z'
'y,-x+1/2,z'
'-y,x+1/2,-z'
'x+1/2,-y,-z'
'-x+1/2,y,z'
'-y,-x,-z'
'y,x,z'
'-x,y+1/2,-z'
'x,-y+1/2,z'
'y+1/2,x+1/2,-z'
'-y+1/2,-x+1/2,z'
loop_
_atom_site_label
_atom_site_type_symbol
_atom_site_fract_x
_atom_site_fract_y
_atom_site_fract_z
Rb1 Rb 0.250 0.250 0.214
Tc1 Tc 0.250 0.750 0.500
P1 P 0.250 0.250 0.605
```

Calculated values
As for the total energy: -5.95 eV/atom. The value obtained for the formation energy is -1.1 eV/f.u.



Record 3
DFT (GGA-PBE) results for a relaxed structure of TaOs2Pt.

Cell and atoms, written as CIF:
```
data_TaOs2Pt
_chemical_formula_sum 'Ta2 Os4 Pt2'
_symmetry_space_group_name_H-M 'I 4/m m m'
_symmetry_Int_Tables_number 139
_symmetry_space_group_name_Hall '-I 4 2'
_cell_length_a 3.969
_cell_length_b 3.969
_cell_length_c 7.830
_cell_angle_alpha 90.00
_cell_angle_beta 90.00
_cell_angle_gamma 90.00
loop_
_atom_site_label
_atom_site_type_symbol
_atom_site_fract_x
_atom_site_fract_y
_atom_site_fract_z
Ta1 Ta 0.000 0.000 0.000
Os1 Os 0.000 0.500 0.250
Pt1 Pt 0.000 0.000 0.500
```

Calculated values
As for the total energy: -10.27 eV/atom. As for the energy above the most stable polymorph in this dataset: 0.714 eV per formula unit. The value obtained for the formation energy is -0.7 eV/f.u.



The lowest total energy belongs to which entry?
TaOs2Pt



Repeat the third record exactly.
DFT (GGA-PBE) results for a relaxed structure of TaOs2Pt.

Cell and atoms, written as CIF:
```
data_TaOs2Pt
_chemical_formula_sum 'Ta2 Os4 Pt2'
_symmetry_space_group_name_H-M 'I 4/m m m'
_symmetry_Int_Tables_number 139
_symmetry_space_group_name_Hall '-I 4 2'
_cell_length_a 3.969
_cell_length_b 3.969
_cell_length_c 7.830
_cell_angle_alpha 90.00
_cell_angle_beta 90.00
_cell_angle_gamma 90.00
loop_
_atom_site_label
_atom_site_type_symbol
_atom_site_fract_x
_atom_site_fract_y
_atom_site_fract_z
Ta1 Ta 0.000 0.000 0.000
Os1 Os 0.000 0.500 0.250
Pt1 Pt 0.000 0.000 0.500
```

Calculated values
As for the total energy: -10.27 eV/atom. As for the energy above the most stable polymorph in this dataset: 0.714 eV per formula unit. The value obtained for the formation energy is -0.7 eV/f.u.



Number 1 is which compound?
AlInTe2



total energy of number 2 (RbTcP)?
-5.95 eV/atom